Density functional theory data (PBE) for a relaxed structure of TcAu3.

Properties
The calculation puts the final energy at -4.810 eV/atom.

Geometry as CIF:
```
data_TcAu3
_cell_length_a 2.8558
_cell_length_b 2.8558
_cell_length_c 9.6953
_cell_angle_alpha 90.00
_cell_angle_beta 90.00
_cell_angle_gamma 120.00
_space_group_name_H-M_alt 'P -6 m 2'
_space_group_IT_number 187
_space_group_name_Hall 'P -6 2'
loop_
_atom_site_label
_atom_site_fract_x
_atom_site_fract_y
_atom_site_fract_z
Tc1 0.0000 0.0000 0.0000
Au1 0.0000 0.0000 0.5000
Au2 0.6667 0.3333 0.2376
```